GGA-PBE Pr3Ge2Rh3, relaxed; energy of formation from the pure elements = -6.8 eV per formula unit; calculated density = 8.4 g/cm3; DFT total energy = -52.41 eV per formula unit; energy above the most stable polymorph in this dataset = 0.000 eV per atom
1.0
5.799 0.000 0.000
0.000 7.825 0.000
0.000 0.000 15.335
Pr Ge Rh
12 8 12
direct
0.142 0.473 0.393
0.642 0.027 0.607
0.858 0.527 0.893
0.358 0.973 0.107
0.858 0.527 0.607
0.358 0.973 0.393
0.142 0.473 0.107
0.642 0.027 0.893
0.614 0.334 0.250
0.114 0.166 0.750
0.386 0.666 0.750
0.886 0.834 0.250
0.861 0.125 0.398
0.361 0.375 0.602
0.139 0.875 0.898
0.639 0.625 0.102
0.139 0.875 0.602
0.639 0.625 0.398
0.861 0.125 0.102
0.361 0.375 0.898
0.095 0.185 0.250
0.595 0.315 0.750
0.905 0.815 0.750
0.405 0.685 0.250
0.596 0.334 0.465
0.096 0.166 0.535
0.404 0.666 0.965
0.904 0.834 0.035
0.404 0.666 0.535
0.904 0.834 0.465
0.596 0.334 0.035
0.096 0.166 0.965